# CeInSn2 PBE relaxed
data_CeInSn2
_cell_length_a 4.770
_cell_length_b 4.770
_cell_length_c 4.590
_cell_angle_alpha 90.00
_cell_angle_beta 90.00
_cell_angle_gamma 90.00
_space_group_name_H-M_alt 'P 4/m m m'
_space_group_IT_number 123
_space_group_name_Hall '-P 4 2'
loop_
_atom_site_label
_atom_site_type_symbol
_atom_site_fract_x
_atom_site_fract_y
_atom_site_fract_z
Ce1 Ce 0.000 0.000 0.000
In1 In 0.500 0.500 0.000
Sn1 Sn 0.000 0.500 0.500
# ΔH_f (0 K) = -515 meV/atom
# E = -0.344 Ry/atom


# Ce8InSn2 PBE relaxed
data_Ce8InSn2
_cell_length_a 8.567
_cell_length_b 14.073
_cell_length_c 5.806
_cell_angle_alpha 90.00
_cell_angle_beta 112.73
_cell_angle_gamma 90.00
_space_group_name_H-M_alt 'C 1 2/m 1'
_space_group_IT_number 12
loop_
_space_group_symop_operation_xyz
'x,y,z'
'-x,-y,-z'
'-x,y,-z'
'x,-y,z'
'x+1/2,y+1/2,z'
'-x+1/2,-y+1/2,-z'
'-x+1/2,y+1/2,-z'
'x+1/2,-y+1/2,z'
loop_
_atom_site_label
_atom_site_type_symbol
_atom_site_fract_x
_atom_site_fract_y
_atom_site_fract_z
Ce1 Ce 0.000 0.232 0.000
Ce2 Ce 0.093 0.500 0.852
Ce3 Ce 0.178 0.097 0.587
In1 In 0.000 0.000 0.000
Sn1 Sn 0.000 0.311 0.500
# ΔH_f (0 K) = -223 meV/atom
# E = -0.405 Ry/atom


# Ce3InSn2 PBE relaxed
data_Ce3InSn2
_cell_length_a 4.602
_cell_length_b 4.697
_cell_length_c 16.388
_cell_angle_alpha 90.00
_cell_angle_beta 90.00
_cell_angle_gamma 90.00
_space_group_name_H-M_alt 'I m m m'
_space_group_IT_number 71
_space_group_name_Hall '-I 2 2'
loop_
_atom_site_label
_atom_site_type_symbol
_atom_site_fract_x
_atom_site_fract_y
_atom_site_fract_z
Ce1 Ce 0.000 0.000 0.000
Ce2 Ce 0.000 0.500 0.337
In1 In 0.000 0.000 0.500
Sn1 Sn 0.000 0.500 0.142
# ΔH_f (0 K) = -489 meV/atom
# Distance to the lowest polymorph of the same formula = 24 meV per atom
# E = -0.386 Ry/atom


# Ce3In2Sn3 PBE relaxed
data_Ce3In2Sn3
_cell_length_a 4.681
_cell_length_b 4.765
_cell_length_c 9.652
_cell_angle_alpha 90.00
_cell_angle_beta 90.00
_cell_angle_gamma 90.00
_space_group_name_H-M_alt 'P m m m'
_space_group_IT_number 47
loop_
_space_group_symop_operation_xyz
'x,y,z'
'-x,-y,-z'
'-x,-y,z'
'x,y,-z'
'x,-y,-z'
'-x,y,z'
'-x,y,-z'
'x,-y,z'
loop_
_atom_site_label
_atom_site_type_symbol
_atom_site_fract_x
_atom_site_fract_y
_atom_site_fract_z
Ce1 Ce 0.000 0.000 0.000
Ce2 Ce 0.500 0.000 0.272
In1 In 0.000 0.500 0.247
Sn1 Sn 0.000 0.000 0.500
Sn2 Sn 0.500 0.500 0.000
Sn3 Sn 0.500 0.500 0.500
# ΔH_f (0 K) = -492 meV/atom
# Distance to the lowest polymorph of the same formula = 0 meV per atom
# E = -0.360 Ry/atom


# Ce2In2Sn3 PBE relaxed
data_Ce2In2Sn3
_cell_length_a 9.358
_cell_length_b 9.358
_cell_length_c 9.358
_cell_angle_alpha 90.00
_cell_angle_beta 90.00
_cell_angle_gamma 90.00
_space_group_name_H-M_alt 'I 21 3'
_space_group_IT_number 199
_space_group_name_Hall 'I 2b 2c 3'
loop_
_atom_site_label
_atom_site_type_symbol
_atom_site_fract_x
_atom_site_fract_y
_atom_site_fract_z
Ce1 Ce 0.014 0.014 0.014
In1 In 0.179 0.321 0.679
Sn1 Sn 0.000 0.250 0.265
# ΔH_f (0 K) = -333 meV/atom
# E = -0.333 Ry/atom


# TbCeInSn PBE relaxed
data_TbCeInSn
_cell_length_a 7.642
_cell_length_b 7.642
_cell_length_c 7.642
_cell_angle_alpha 90.00
_cell_angle_beta 90.00
_cell_angle_gamma 90.00
_space_group_name_H-M_alt 'F -4 3 m'
_space_group_IT_number 216
_space_group_name_Hall 'F -4 2 3'
loop_
_atom_site_label
_atom_site_type_symbol
_atom_site_fract_x
_atom_site_fract_y
_atom_site_fract_z
Tb1 Tb 0.000 0.000 0.000
Ce1 Ce 0.000 0.000 0.500
In1 In 0.250 0.250 0.250
Sn1 Sn 0.250 0.250 0.750
# ΔH_f (0 K) = -477 meV/atom
# Distance to the lowest polymorph of the same formula = 38 meV per atom
# E = -0.353 Ry/atom


# TbCeInSn PBE relaxed
data_TbCeInSn
_cell_length_a 4.463
_cell_length_b 4.936
_cell_length_c 4.970
_cell_angle_alpha 90.00
_cell_angle_beta 90.00
_cell_angle_gamma 90.00
_space_group_name_H-M_alt 'P m m m'
_space_group_IT_number 47
loop_
_space_group_symop_operation_xyz
'x,y,z'
'-x,-y,-z'
'-x,-y,z'
'x,y,-z'
'x,-y,-z'
'-x,y,z'
'-x,y,-z'
'x,-y,z'
loop_
_atom_site_label
_atom_site_type_symbol
_atom_site_fract_x
_atom_site_fract_y
_atom_site_fract_z
Tb1 Tb 0.000 0.000 0.000
Ce1 Ce 0.000 0.500 0.500
In1 In 0.500 0.500 0.000
Sn1 Sn 0.500 0.000 0.500
# ΔH_f (0 K) = -514 meV/atom
# Distance to the lowest polymorph of the same formula = 0 meV per atom
# E = -0.356 Ry/atom


# CeYInSn PBE relaxed
data_CeYInSn
_cell_length_a 4.453
_cell_length_b 4.941
_cell_length_c 4.983
_cell_angle_alpha 90.00
_cell_angle_beta 90.00
_cell_angle_gamma 90.00
_space_group_name_H-M_alt 'P m m m'
_space_group_IT_number 47
loop_
_space_group_symop_operation_xyz
'x,y,z'
'-x,-y,-z'
'-x,-y,z'
'x,y,-z'
'x,-y,-z'
'-x,y,z'
'-x,y,-z'
'x,-y,z'
loop_
_atom_site_label
_atom_site_type_symbol
_atom_site_fract_x
_atom_site_fract_y
_atom_site_fract_z
Ce1 Ce 0.000 0.000 0.000
Y1 Y 0.000 0.500 0.500
In1 In 0.500 0.000 0.500
Sn1 Sn 0.500 0.500 0.000
# ΔH_f (0 K) = -518 meV/atom
# Distance to the lowest polymorph of the same formula = 0 meV per atom
# E = -0.390 Ry/atom